The following is a DFT calculation (PBE-GGA) of Dy7In4Pb after structural relaxation.

Values from the calculation:
* calculated total energy: -4.076 eV/atom
* energy of formation: -197 kJ/mol of formula units
* V: 30.5 Å³ per atom

Unit cell a=7.7154 b=7.7154 c=11.1521 alpha=124.27 beta=124.27 gamma=43.84
Fractional coordinates of all 12 atoms:
1 Dy 0.0000 0.0000 0.0000
2 Dy 0.1592 0.1592 0.5932
3 Dy 0.2852 0.2852 0.1294
4 Dy 0.4300 0.4300 0.6745
5 Dy 0.5700 0.5700 0.3255
6 Dy 0.7148 0.7148 0.8706
7 Dy 0.8408 0.8408 0.4068
8 In 0.0628 0.0628 0.7720
9 In 0.2044 0.2044 0.3410
10 In 0.7956 0.7956 0.6590
11 In 0.9372 0.9372 0.2280
12 Pb 0.5000 0.5000 0.0000